## CaTePt2 (PBE)

Data for a geometry-optimized CaTePt2 structure.

The structure in CIF format:
```
data_CaTePt2
_cell_length_a 5.060
_cell_length_b 5.060
_cell_length_c 16.815
_cell_angle_alpha 90.00
_cell_angle_beta 90.00
_cell_angle_gamma 90.00
_symmetry_space_group_name_H-M 'I -4 2 d'
_symmetry_Int_Tables_number 122
_symmetry_space_group_name_Hall 'I -4 2bw'
loop_
_atom_site_label
_atom_site_type_symbol
_atom_site_fract_x
_atom_site_fract_y
_atom_site_fract_z
Ca1 Ca 0.000 0.000 0.000
Te1 Te 0.000 0.000 0.500
Pt1 Pt 0.137 0.250 0.625
```

The uncorrected formation energy is -0.4498 eV per atom. The value obtained for the density of states at the Fermi level is 1.82 states/eV/cell.

---

## FeIr2W (PBE)

Data for a geometry-optimized FeIr2W structure.

The structure in CIF format:
```
data_FeIr2W
_cell_length_a 6.168
_cell_length_b 6.168
_cell_length_c 6.168
_cell_angle_alpha 90.00
_cell_angle_beta 90.00
_cell_angle_gamma 90.00
_symmetry_space_group_name_H-M 'F m -3 m'
_symmetry_Int_Tables_number 225
_symmetry_space_group_name_Hall '-F 4 2 3'
loop_
_atom_site_label
_atom_site_type_symbol
_atom_site_fract_x
_atom_site_fract_y
_atom_site_fract_z
Fe1 Fe 0.000 0.000 0.000
Ir1 Ir 0.250 0.250 0.250
W1 W 0.000 0.000 0.500
```

Its formation energy is 0.56 eV/f.u. The value obtained for the density of states at the Fermi level is 22.33 states/eV/cell. For the relative energy among the computed polymorphs, the calculation gives 375.7 meV per atom.

---

## Cs2RbPbI6 (PBE)

Data for a geometry-optimized Cs2RbPbI6 structure.

The structure in CIF format:
```
data_Cs2RbPbI6
_cell_length_a 13.132
_cell_length_b 13.132
_cell_length_c 13.132
_cell_angle_alpha 90.00
_cell_angle_beta 90.00
_cell_angle_gamma 90.00
_symmetry_space_group_name_H-M 'F m -3 m'
_symmetry_Int_Tables_number 225
_symmetry_space_group_name_Hall '-F 4 2 3'
loop_
_atom_site_label
_atom_site_type_symbol
_atom_site_fract_x
_atom_site_fract_y
_atom_site_fract_z
Cs1 Cs 0.250 0.250 0.250
Rb1 Rb 0.000 0.000 0.000
Pb1 Pb 0.000 0.000 0.500
I1 I 0.000 0.000 0.265
```

The uncorrected formation energy is -1.0103 eV per atom. The value obtained for the density of states at the Fermi level is 24.18 states/eV/cell.

---

## TiSbAu2 (PBE)

Data for a geometry-optimized TiSbAu2 structure.

The structure in CIF format:
```
data_TiSbAu2
_cell_length_a 7.702
_cell_length_b 7.702
_cell_length_c 5.568
_cell_angle_alpha 90.00
_cell_angle_beta 90.00
_cell_angle_gamma 90.00
_symmetry_space_group_name_H-M 'I -4 2 d'
_symmetry_Int_Tables_number 122
_symmetry_space_group_name_Hall 'I -4 2bw'
loop_
_atom_site_label
_atom_site_type_symbol
_atom_site_fract_x
_atom_site_fract_y
_atom_site_fract_z
Ti1 Ti 0.000 0.000 0.000
Sb1 Sb 0.000 0.000 0.500
Au1 Au 0.244 0.250 0.125
```

The uncorrected formation energy is -0.0828 eV per atom. The value obtained for the density of states at the Fermi level is 20.97 states/eV/cell.

---

Repeat the second record exactly.
## FeIr2W (PBE)

Data for a geometry-optimized FeIr2W structure.

The structure in CIF format:
```
data_FeIr2W
_cell_length_a 6.168
_cell_length_b 6.168
_cell_length_c 6.168
_cell_angle_alpha 90.00
_cell_angle_beta 90.00
_cell_angle_gamma 90.00
_symmetry_space_group_name_H-M 'F m -3 m'
_symmetry_Int_Tables_number 225
_symmetry_space_group_name_Hall '-F 4 2 3'
loop_
_atom_site_label
_atom_site_type_symbol
_atom_site_fract_x
_atom_site_fract_y
_atom_site_fract_z
Fe1 Fe 0.000 0.000 0.000
Ir1 Ir 0.250 0.250 0.250
W1 W 0.000 0.000 0.500
```

Its formation energy is 0.56 eV/f.u. The value obtained for the density of states at the Fermi level is 22.33 states/eV/cell. For the relative energy among the computed polymorphs, the calculation gives 375.7 meV per atom.

---

Number 2 is which compound?
FeIr2W